Here is a relaxed structure of NdVF2 from Alexandria. Energies are from PBE+U.

a = 3.599 Å, b = 3.599 Å, c = 6.833 Å
α = 74.73°, β = 74.73°, γ = 60.00°
Element x y z (fractional)
F1 0.128 0.128 0.616
F2 0.872 0.872 0.384
Nd1 0.000 0.000 0.000
V1 0.500 0.500 0.500

Calculated values
The calculation puts the total energy at -5.758 eV/atom. The volume is 73 Å³ per cell. The space group is R-3m. The magnetic moment is 1.68 μB/f.u.